Below is ReHN after structural relaxation, with properties calculated at the PBE level.

The space group is R3m (No. 160, hexagonal axes) and the conventional cell measures 2.9299, 2.9299 and 10.0902 Å, with angles of 90.00, 90.00 and 120.00 degrees. The asymmetric unit holds Re at (0.0000, 0.0000, 0.0000), H at (0.0000, 0.0000, 0.2668) and N at (0.0000, 0.0000, 0.7882).

As for the density: 13.36 g/cm3. The calculation puts the total magnetization at 0.000 Bohr magnetons per cell. Its energy above the most stable polymorph in this dataset is 0.000 eV/atom. For the total energy, the calculation gives -70.8 eV per cell.

***

Below is K2HgPtF6 after structural relaxation, with properties calculated at the PBE level.

The space group is P-1 (No. 2) and the conventional cell measures 6.3993, 6.6705 and 6.6956 Å, with angles of 91.14, 117.83 and 117.72 degrees. The asymmetric unit holds K at (0.0014, 0.2264, 0.2749), Hg at (0.5000, 0.5000, 0.0000), Pt at (0.5000, 0.0000, 0.5000), F at (0.2076, 0.9555, 0.1794), F at (0.2421, 0.6812, 0.4930) and F at (0.3494, 0.1280, 0.6297).

The energy relative to the elements, uncorrected comes out at -1.904 eV/atom. As for the density: 4.58 g/cm3. The calculation puts the total magnetization at 0.000 Bohr magnetons per cell. For the total energy, the calculation gives -38.8 eV per cell.

***

Below is K2NaY after structural relaxation, with properties calculated at the PBE level.

The space group is Fm-3m (No. 225) and the conventional cell measures 9.2719, 9.2719 and 9.2719 Å, with angles of 90.00, 90.00 and 90.00 degrees. The asymmetric unit holds K at (0.2500, 0.2500, 0.2500), Na at (0.0000, 0.0000, 0.0000) and Y at (0.0000, 0.0000, 0.5000).

The value obtained for the calculated formation energy is 578 meV/atom. As for the density: 1.58 g/cm3. The calculation puts the total magnetization at 0.015 Bohr magnetons per cell. Its energy above the most stable polymorph in this dataset is 0.220 eV/atom. For the total energy, the calculation gives -30.7 eV per cell.

***

Which of these has the lowest density?
K2NaY

***

Which value of density does entry 1 give?
13.36 g/cm3

***

Which of these has the lowest density?
K2NaY